First-principles (GGA+U) data for a relaxed structure of TbNpCr2O6, as listed in Alexandria via LeMat-Bulk.

a b c (Å): 5.450 5.588 5.728
angles (deg): 61.91 89.79 61.28
Atoms (fractional coordinates):
Tb 0.000 0.000 0.000
Np 0.500 0.007 0.491
Cr 0.290 0.430 0.864
Cr 0.784 0.440 0.358
O 0.085 0.505 0.155
O 0.191 0.886 0.672
O 0.407 0.958 0.141
O 0.569 0.276 0.653
O 0.659 0.269 0.158
O 0.926 0.518 0.651

Properties
* space-group type: P1, No. 1
* final energy: -0.3218 hartree per atom
* M_tot: 10.0 μB/f.u.
* DOS at the Fermi energy: 1.14 states/eV/atom